No. 1
Sr5Tl: relaxed, PBE.

a b c (Å): 4.166 4.166 16.549
angles (deg): 90.00 90.00 90.00
Sites, in units of the cell vectors:
Tl 0.500 0.500 0.000
Sr 0.000 0.000 0.120
Sr 0.500 0.500 0.312
Sr 0.000 0.000 0.880
Sr 0.000 0.000 0.500
Sr 0.500 0.500 0.688

Results
polymorph energy (0 for the lowest one) = 0.0 meV/atom

No. 2
PmZr2Be: relaxed, PBE.

a b c (Å): 3.229 3.229 8.247
angles (deg): 90.00 90.00 90.00
Sites, in units of the cell vectors:
Zr 0.000 0.000 0.809
Zr 0.000 0.000 0.191
Be 0.500 0.500 0.000
Pm 0.500 0.500 0.500

No. 3
BeCd3Ir: relaxed, PBE.

a b c (Å): 4.523 4.523 4.523
angles (deg): 90.00 90.00 90.00
Sites, in units of the cell vectors:
Cd 0.000 0.000 0.500
Cd 0.500 0.000 0.000
Cd 0.000 0.500 0.000
Be 0.000 0.000 0.000
Ir 0.500 0.500 0.500

Results
polymorph energy (0 for the lowest one) = 0.0 meV/atom

No. 4
Tb2Cu3Ni12Ge: relaxed, PBE.

a b c (Å): 9.239 9.239 9.239
angles (deg): 37.34 37.34 37.34
Sites, in units of the cell vectors:
Ni 0.420 0.810 0.420
Ni 0.363 0.922 0.922
Ni 0.922 0.922 0.363
Ni 0.580 0.580 0.190
Ni 0.922 0.363 0.922
Ni 0.810 0.420 0.420
Ni 0.078 0.078 0.637
Ni 0.637 0.078 0.078
Ni 0.580 0.190 0.580
Ni 0.420 0.420 0.810
Ni 0.078 0.637 0.078
Ni 0.190 0.580 0.580
Cu 0.000 0.500 0.000
Cu 0.500 0.000 0.000
Cu 0.000 0.000 0.500
Tb 0.648 0.648 0.648
Tb 0.352 0.352 0.352
Ge 0.000 0.000 0.000

Number 1: ΔH_f (0 K) -0.141 eV/atom. Number 2: ΔH_f (0 K) 0.096 eV/atom. Number 3: ΔH_f (0 K) 0.784 eV/atom. Number 4: ΔH_f (0 K) 0.148 eV/atom.